Ca2MoO5 PBE with a Hubbard U optimized geometry; magnetic moment = 0.00 μB/cell; offset from the most stable computed form = 0 meV per atom; volume = 15.61 Å³ per atom
1.0
-2.2419 2.4332 -2.8418
-0.5608 -5.6288 -1.0297
-2.6635 -0.0488 5.4051
Ca Mo O
2 1 5
Cartesian
-2.2875 -2.5525 -0.6120
-3.6384 -0.7045 2.0345
-0.3722 0.1482 -0.2359
-3.0200 -1.7400 -2.6798
-1.7873 -0.6952 0.7098
-4.0540 -2.6539 0.8202
-2.9024 -1.5211 4.1071
-1.2977 1.1527 -1.4093